The following is a PBE calculation of crystalline TaCdRe at its relaxed geometry, from Alexandria.

Lattice parameters (Å, degrees): 7.1626 7.1626 7.1626 157.66 157.66 31.79
Sites, in units of the cell vectors:
1 Ta 0.0000 0.0000 0.0000
2 Cd 0.6749 0.6749 0.0000
3 Re 0.3403 0.3403 0.0000

* formation enthalpy at 0 K: 45.9 kJ/mol of atoms
* excess energy over the best structure of this formula in the dataset: 0.80 eV/f.u.

The following is a PBE calculation of crystalline Sm6TmCd2 at its relaxed geometry, from Alexandria.

Lattice parameters (Å, degrees): 6.6780 6.6780 12.0508 108.08 108.08 32.97
Sites, in units of the cell vectors:
1 Sm 0.0191 0.0191 0.3370
2 Sm 0.3109 0.3109 0.4120
3 Sm 0.3153 0.3153 0.1225
4 Sm 0.6847 0.6847 0.8775
5 Sm 0.6891 0.6891 0.5880
6 Sm 0.9809 0.9809 0.6630
7 Tm 0.0000 0.0000 0.0000
8 Cd 0.3580 0.3580 0.8012
9 Cd 0.6420 0.6420 0.1988

* formation enthalpy at 0 K: -12.4 kJ/mol of atoms
* excess energy over the best structure of this formula in the dataset: 0.00 eV/f.u.

The following is a PBE calculation of crystalline SrLa2Tl at its relaxed geometry, from Alexandria.

Lattice parameters (Å, degrees): 11.8054 11.8054 11.8054 18.97 18.97 18.97
Sites, in units of the cell vectors:
1 Sr 0.0000 0.0000 0.0000
2 La 0.2344 0.2344 0.2344
3 La 0.4847 0.4847 0.4847
4 Tl 0.7429 0.7429 0.7429

* formation enthalpy at 0 K: -8.7 kJ/mol of atoms
* excess energy over the best structure of this formula in the dataset: 0.35 eV/f.u.

The following is a PBE calculation of crystalline ZrIr2Ru at its relaxed geometry, from Alexandria.

Lattice parameters (Å, degrees): 3.9859 3.9859 3.9689 90.00 90.00 90.00
Sites, in units of the cell vectors:
1 Zr 0.0000 0.0000 0.0000
2 Ir 0.0000 0.5000 0.5000
3 Ir 0.5000 0.0000 0.5000
4 Ru 0.5000 0.5000 0.0000

* formation enthalpy at 0 K: -51.2 kJ/mol of atoms
* excess energy over the best structure of this formula in the dataset: 0.00 eV/f.u.

The following is a PBE calculation of crystalline CeBiRh at its relaxed geometry, from Alexandria.

Lattice parameters (Å, degrees): 5.1926 5.1926 5.1926 127.82 127.82 76.91
Sites, in units of the cell vectors:
1 Ce 0.0000 0.0000 0.0000
2 Bi 0.6133 0.6133 0.0000
3 Rh 0.2746 0.2746 0.0000

* formation enthalpy at 0 K: -28.1 kJ/mol of atoms

The following is a PBE calculation of crystalline SrLiMo4 at its relaxed geometry, from Alexandria.

Lattice parameters (Å, degrees): 5.4840 5.4840 5.4840 60.00 60.00 60.00
Sites, in units of the cell vectors:
1 Sr 0.0000 0.0000 0.0000
2 Li 0.7500 0.7500 0.7500
3 Mo 0.3757 0.3757 0.3757
4 Mo 0.3757 0.3757 0.8729
5 Mo 0.3757 0.8729 0.3757
6 Mo 0.8729 0.3757 0.3757

* formation enthalpy at 0 K: 71.7 kJ/mol of atoms

The following is a PBE calculation of crystalline PmZn11Si at its relaxed geometry, from Alexandria.

Lattice parameters (Å, degrees): 6.8811 6.8811 6.7627 98.23 98.23 135.27
Sites, in units of the cell vectors:
1 Pm 0.0000 0.0000 0.0000
2 Zn 0.0002 0.3572 0.3554
3 Zn 0.0000 0.5000 0.0000
4 Zn 0.9998 0.6428 0.6446
5 Zn 0.2873 0.5050 0.7836
6 Zn 0.3572 0.0002 0.3554
7 Zn 0.4950 0.7127 0.2164
8 Zn 0.5000 0.0000 0.0000
9 Zn 0.5000 0.5000 0.5000
10 Zn 0.5050 0.2873 0.7836
11 Zn 0.6428 0.9998 0.6446
12 Zn 0.7127 0.4950 0.2164
13 Si 0.0000 0.0000 0.5000

* energy: -25.85 eV per cell

The following is a PBE calculation of crystalline Ba4TlHg at its relaxed geometry, from Alexandria.

Lattice parameters (Å, degrees): 5.9430 5.9430 8.4825 90.00 90.00 90.00
Sites, in units of the cell vectors:
1 Ba 0.0000 0.5000 0.2487
2 Ba 0.0000 0.5000 0.7513
3 Ba 0.5000 0.0000 0.2487
4 Ba 0.5000 0.0000 0.7513
5 Tl 0.0000 0.0000 0.0000
6 Hg 0.5000 0.5000 0.5000

* formation enthalpy at 0 K: -23.5 kJ/mol of atoms
* excess energy over the best structure of this formula in the dataset: 0.62 eV/f.u.